[1]
SrBePt3 after structural relaxation, computed with PBE.

Summary:
DFT formation energy in kJ/mol of formula units: -221
VASP energy in eV/cell: -103.30
Crystal system: monoclinic
ρ in g/cm3: 11.68

abc: 7.9769 7.9769 6.1066
angles: 90.70 90.70 93.79
Last column: nearest neighbours and their distance in Å.
Atoms (fractional coordinates):
Sr  0.0091  0.2841  0.1300  7 Pt 2.99-3.23, 1 Be 3.23
Sr  0.2841  0.0091  0.6300  7 Pt 2.99-3.23, 1 Be 3.23
Sr  0.7159  0.9909  0.3700  7 Pt 2.99-3.23, 1 Be 3.23
Sr  0.9909  0.7159  0.8700  7 Pt 2.99-3.23, 1 Be 3.23
Be  0.2774  0.7226  0.2500  4 Pt 2.23-2.26
Be  0.4071  0.5929  0.7500  6 Pt 2.24-2.41
Be  0.5929  0.4071  0.2500  6 Pt 2.24-2.41
Be  0.7226  0.2774  0.7500  4 Pt 2.23-2.26
Pt  0.0170  0.7633  0.3561  1 Be 2.23
Pt  0.1876  0.5020  0.5193  2 Be 2.31-2.50
Pt  0.2367  0.9830  0.1439  1 Be 2.23
Pt  0.3373  0.4826  0.0753  3 Be 2.24-2.41
Pt  0.4826  0.3373  0.5753  3 Be 2.24-2.41
Pt  0.4980  0.8124  0.9807  2 Be 2.31-2.50
Pt  0.5020  0.1876  0.0193  2 Be 2.31-2.50
Pt  0.5174  0.6627  0.4247  3 Be 2.24-2.41
Pt  0.6627  0.5174  0.9247  3 Be 2.24-2.41
Pt  0.7633  0.0170  0.8561  1 Be 2.23
Pt  0.8124  0.4980  0.4807  2 Be 2.31-2.50
Pt  0.9830  0.2367  0.6439  1 Be 2.23

=====

[2]
Pm6Pt3C after structural relaxation, computed with PBE.

Summary:
DFT formation energy in kJ/mol of formula units: -698
VASP energy in eV/cell: -126.18
Crystal system: monoclinic
ρ in g/cm3: 9.33

abc: 6.8343 7.5025 12.0798
angles: 90.00 122.48 90.00
Last column: nearest neighbours and their distance in Å.
Atoms (fractional coordinates):
Pm  0.0974  0.0463  0.2354  1 C 2.57
Pm  0.0974  0.4537  0.7354  1 C 2.57
Pm  0.2260  0.6963  0.0705  1 C 2.62, 1 Pt 2.85
Pm  0.2260  0.8037  0.5705  1 C 2.62, 1 Pt 2.85
Pm  0.3706  0.1678  0.0647  1 C 2.55
Pm  0.3706  0.3322  0.5647  1 C 2.55
Pm  0.6294  0.6678  0.4353  1 C 2.55
Pm  0.6294  0.8322  0.9353  1 C 2.55
Pm  0.7740  0.1963  0.4295  1 C 2.62, 1 Pt 2.85
Pm  0.7740  0.3037  0.9295  1 C 2.62, 1 Pt 2.85
Pm  0.9026  0.5463  0.2646  1 C 2.57
Pm  0.9026  0.9537  0.7646  1 C 2.57
Pt  0.3036  0.1025  0.7571  6 Pm 2.93-3.12
Pt  0.3036  0.3975  0.2571  6 Pm 2.93-3.12
Pt  0.5000  0.0000  0.5000  6 Pm 2.85-2.91
Pt  0.5000  0.5000  0.0000  6 Pm 2.85-2.91
Pt  0.6964  0.6025  0.7429  6 Pm 2.93-3.12
Pt  0.6964  0.8975  0.2429  6 Pm 2.93-3.12
C  0.0000  0.0000  0.0000  6 Pm 2.55-2.62
C  0.0000  0.5000  0.5000  6 Pm 2.55-2.62

=====

[3]
TlTcO4F after structural relaxation, computed with PBE.

Summary:
VASP energy in eV/cell: -87.05
Raw formation energy in eV per atom: -1.298
Crystal system: monoclinic
ρ in g/cm3: 4.60

abc: 6.1803 6.1803 7.8126
angles: 104.01 104.01 79.14
Last column: nearest neighbours and their distance in Å.
Atoms (fractional coordinates):
Tl  0.1872  0.1872  0.1644  2 F 2.28, 4 O 2.52-2.55
Tl  0.8128  0.8128  0.8356  2 F 2.28, 4 O 2.52-2.55
Tc  0.3532  0.3532  0.7181  4 O 1.75
Tc  0.6468  0.6468  0.2819  4 O 1.75
O  0.1473  0.5088  0.8345  1 Tc 1.75
O  0.2279  0.2279  0.5002  1 Tc 1.75
O  0.4678  0.4678  0.2968  1 Tc 1.75
O  0.4912  0.8527  0.1655  1 Tc 1.75
O  0.5088  0.1473  0.8345  1 Tc 1.75
O  0.5322  0.5322  0.7032  1 Tc 1.75
O  0.7721  0.7721  0.4998  1 Tc 1.75
O  0.8527  0.4912  0.1655  1 Tc 1.75
F  0.0586  0.0586  0.8635  2 Tl 2.28
F  0.9414  0.9414  0.1365  2 Tl 2.28

=====

[4]
Tl2TcBr after structural relaxation, computed with PBE.

Summary:
VASP energy in eV/cell: -14.92
Raw formation energy in eV per atom: 0.463
Crystal system: tetragonal
ρ in g/cm3: 9.78

abc: 3.3346 3.3346 8.9586
angles: 90.00 90.00 90.00
Last column: nearest neighbours and their distance in Å.
Atoms (fractional coordinates):
Tl  0.0000  0.0000  0.0000  4 Tc 2.98, 4 Tl 3.33
Tl  0.5000  0.5000  0.2906  8 Tl 3.33-3.51, 4 Br 3.70
Tc  0.5000  0.5000  0.7959  4 Br 2.90, 4 Tl 2.98
Br  0.0000  0.0000  0.6082  4 Tc 2.90